Record 1
Below is a relaxed Cd2InHg crystal, with properties calculated at the GGA-PBE level.

```
data_Cd2InHg
_chemical_formula_sum 'Cd4 In2 Hg2'
_cell_length_a 3.253
_cell_length_b 5.784
_cell_length_c 10.721
_cell_angle_alpha 90.00
_cell_angle_beta 90.00
_cell_angle_gamma 90.00
_symmetry_space_group_name_H-M 'C m m m'
_symmetry_Int_Tables_number 65
_symmetry_space_group_name_Hall '-C 2 2'
loop_
_atom_site_label
_atom_site_fract_x
_atom_site_fract_y
_atom_site_fract_z
_atom_site_occupancy
Cd1 0.000 0.000 0.244 1
In1 0.000 0.500 0.500 1
Hg1 0.000 0.500 0.000 1
```

## Properties
The calculation puts the relative energy among the computed polymorphs at 24 meV per atom.


Record 2
Below is a relaxed Nb2Ni3Pt4 crystal, with properties calculated at the GGA-PBE level.

```
data_Nb2Ni3Pt4
_chemical_formula_sum 'Nb4 Ni6 Pt8'
_cell_length_a 8.816
_cell_length_b 3.885
_cell_length_c 8.134
_cell_angle_alpha 90.00
_cell_angle_beta 110.36
_cell_angle_gamma 90.00
_symmetry_space_group_name_H-M 'C 1 2/m 1'
_symmetry_Int_Tables_number 12
loop_
_symmetry_equiv_pos_as_xyz
'x,y,z'
'-x,-y,-z'
'-x,y,-z'
'x,-y,z'
'x+1/2,y+1/2,z'
'-x+1/2,-y+1/2,-z'
'-x+1/2,y+1/2,-z'
'x+1/2,-y+1/2,z'
loop_
_atom_site_label
_atom_site_fract_x
_atom_site_fract_y
_atom_site_fract_z
_atom_site_occupancy
Nb1 0.175 0.000 0.233 1
Ni1 0.000 0.500 0.000 1
Ni2 0.164 0.000 0.552 1
Pt1 0.013 0.500 0.338 1
Pt2 0.162 0.000 0.889 1
```

## Properties
Its energy is -7.357 eV per atom.


no.,Fermi-level density of states (states/eV per cell)
1,2.13
2,15.96